Entry from Alexandria via LeMat-Bulk: a relaxed structure of PRuSe2 (GGA-PBE).

## Properties
Fermi-level density of states	8.14	states/eV per cell
magnetization	0.0	μB/f.u.
calculated total energy	-5.11	eV per atom
formation energy (no corrections)	0.303	eV/atom

Geometry as CIF:
```
data_PRuSe2
_cell_length_a 3.4210
_cell_length_b 3.4210
_cell_length_c 20.5526
_cell_angle_alpha 90.00
_cell_angle_beta 90.00
_cell_angle_gamma 120.00
_space_group_name_H-M_alt 'R -3 m'
_space_group_IT_number 166
_space_group_name_Hall '-R 3 2"'
loop_
_atom_site_label
_atom_site_fract_x
_atom_site_fract_y
_atom_site_fract_z
P1 0.0000 0.0000 0.0000
Ru1 0.0000 0.0000 0.5000
Se1 0.0000 0.0000 0.2472
```

Entry from Alexandria via LeMat-Bulk: a relaxed structure of Ta2GeW (GGA-PBE).

## Properties
calculated formation energy	0.71	eV/atom
Fermi-level density of states	8.17	states/eV per cell
magnetization	0.0	μB/f.u.
calculated total energy	-9.61	eV per atom

Geometry as CIF:
```
data_Ta2GeW
_cell_length_a 7.282
_cell_length_b 7.282
_cell_length_c 5.536
_cell_angle_alpha 90.00
_cell_angle_beta 90.00
_cell_angle_gamma 90.00
_space_group_name_H-M_alt 'I -4 2 d'
_space_group_IT_number 122
_space_group_name_Hall 'I -4 2bw'
loop_
_atom_site_label
_atom_site_fract_x
_atom_site_fract_y
_atom_site_fract_z
Ta1 0.241 0.250 0.125
Ge1 0.000 0.000 0.000
W1 0.000 0.000 0.500
```

Entry from Alexandria via LeMat-Bulk: a relaxed structure of Ba2SbPb (GGA-PBE).

## Properties
relative energy among the computed polymorphs	207	meV per atom
Fermi-level density of states	3.54	states/eV per cell
magnetization	0.0	μB/f.u.
calculated total energy	-3.44	eV per atom
formation energy (no corrections)	-0.517	eV/atom

Geometry as CIF:
```
data_Ba2SbPb
_cell_length_a 3.923
_cell_length_b 6.048
_cell_length_c 7.137
_cell_angle_alpha 90.00
_cell_angle_beta 90.00
_cell_angle_gamma 90.00
_space_group_name_H-M_alt 'P m m m'
_space_group_IT_number 47
loop_
_space_group_symop_operation_xyz
'x,y,z'
'-x,-y,-z'
'-x,-y,z'
'x,y,-z'
'x,-y,-z'
'-x,y,z'
'-x,y,-z'
'x,-y,z'
loop_
_atom_site_label
_atom_site_fract_x
_atom_site_fract_y
_atom_site_fract_z
Ba1 0.000 0.000 0.000
Ba2 0.500 0.500 0.500
Sb1 0.000 0.000 0.500
Pb1 0.500 0.500 0.000
```

Please write out number 3 again, unchanged.
Entry from Alexandria via LeMat-Bulk: a relaxed structure of Ba2SbPb (GGA-PBE).

## Properties
relative energy among the computed polymorphs	207	meV per atom
Fermi-level density of states	3.54	states/eV per cell
magnetization	0.0	μB/f.u.
calculated total energy	-3.44	eV per atom
formation energy (no corrections)	-0.517	eV/atom

Geometry as CIF:
```
data_Ba2SbPb
_cell_length_a 3.923
_cell_length_b 6.048
_cell_length_c 7.137
_cell_angle_alpha 90.00
_cell_angle_beta 90.00
_cell_angle_gamma 90.00
_space_group_name_H-M_alt 'P m m m'
_space_group_IT_number 47
loop_
_space_group_symop_operation_xyz
'x,y,z'
'-x,-y,-z'
'-x,-y,z'
'x,y,-z'
'x,-y,-z'
'-x,y,z'
'-x,y,-z'
'x,-y,z'
loop_
_atom_site_label
_atom_site_fract_x
_atom_site_fract_y
_atom_site_fract_z
Ba1 0.000 0.000 0.000
Ba2 0.500 0.500 0.500
Sb1 0.000 0.000 0.500
Pb1 0.500 0.500 0.000
```

Q: Look up the magnetization of the first one.
A: 0.0 μB/f.u.